Entry 1:
Compound: CdAgSe2I
Source: the Alexandria database
Functional: GGA-PBE
Structure: optimized geometry Values from VASP.

Cell and atoms, written as Quantum ESPRESSO input:
```
&SYSTEM
  ibrav = 0, nat = 5, ntyp = 4
/
ATOMIC_SPECIES
Cd 112.41 Cd.upf
Ag 107.87 Ag.upf
Se 78.96 Se.upf
I 126.90 I.upf
CELL_PARAMETERS angstrom
4.9175 0.0000 0.0000
0.0000 4.9175 0.0000
0.0000 0.0000 6.4252
ATOMIC_POSITIONS crystal
Cd 0.0000 0.0000 0.0000
Ag 0.0000 0.0000 0.5000
Se 0.0000 0.5000 0.5000
Se 0.5000 0.0000 0.5000
I 0.5000 0.5000 0.0000
```

Summary:
- space group = P4/mmm (123)

=====

Entry 2:
Compound: CdSiAgI2
Source: the Alexandria database
Functional: GGA-PBE
Structure: optimized geometry Values from VASP.

Cell and atoms, written as Quantum ESPRESSO input:
```
&SYSTEM
  ibrav = 0, nat = 5, ntyp = 4
/
ATOMIC_SPECIES
Cd 112.41 Cd.upf
Si 28.09 Si.upf
Ag 107.87 Ag.upf
I 126.90 I.upf
CELL_PARAMETERS angstrom
5.8477 0.0000 0.0000
0.0000 5.8477 0.0000
0.0000 0.0000 5.3701
ATOMIC_POSITIONS crystal
Cd 0.0000 0.0000 0.0000
Si 0.5000 0.5000 0.5000
Ag 0.0000 0.0000 0.5000
I 0.0000 0.5000 0.0000
I 0.5000 0.0000 0.0000
```

Summary:
- space group = P4/mmm (123)

=====

Entry 3:
Compound: SrCdAg2I6
Source: the Alexandria database
Functional: GGA-PBE
Structure: optimized geometry Values from VASP.

Cell and atoms, written as Quantum ESPRESSO input:
```
&SYSTEM
  ibrav = 0, nat = 20, ntyp = 4
/
ATOMIC_SPECIES
Sr 87.62 Sr.upf
Cd 112.41 Cd.upf
Ag 107.87 Ag.upf
I 126.90 I.upf
CELL_PARAMETERS angstrom
7.6993 -6.8721 0.0000
7.6993 6.8721 0.0000
-1.4578 0.0000 7.8670
ATOMIC_POSITIONS crystal
Sr 0.0898 0.9102 0.7500
Sr 0.9102 0.0898 0.2500
Cd 0.2539 0.7461 0.2500
Cd 0.7461 0.2539 0.7500
Ag 0.3167 0.4827 0.7202
Ag 0.4827 0.3167 0.2202
Ag 0.5173 0.6833 0.7798
Ag 0.6833 0.5173 0.2798
I 0.0246 0.2112 0.6372
I 0.1283 0.6277 0.9077
I 0.2112 0.0246 0.1372
I 0.2813 0.4756 0.3672
I 0.3723 0.8717 0.5923
I 0.4756 0.2813 0.8672
I 0.5244 0.7187 0.1328
I 0.6277 0.1283 0.4077
I 0.7187 0.5244 0.6328
I 0.7888 0.9754 0.8628
I 0.8717 0.3723 0.0923
I 0.9754 0.7888 0.3628
```

Summary:
- space group = C2/c (15)

=====

Entry 4:
Compound: CdAgTeI2
Source: the Alexandria database
Functional: GGA-PBE
Structure: optimized geometry Values from VASP.

Cell and atoms, written as Quantum ESPRESSO input:
```
&SYSTEM
  ibrav = 0, nat = 5, ntyp = 4
/
ATOMIC_SPECIES
Cd 112.41 Cd.upf
Ag 107.87 Ag.upf
Te 127.60 Te.upf
I 126.90 I.upf
CELL_PARAMETERS angstrom
5.8918 0.0000 0.0000
0.0000 5.8918 0.0000
0.0000 0.0000 5.6624
ATOMIC_POSITIONS crystal
Cd 0.0000 0.0000 0.0000
Ag 0.5000 0.5000 0.5000
Te 0.0000 0.0000 0.5000
I 0.0000 0.5000 0.0000
I 0.5000 0.0000 0.0000
```

Summary:
- energy above the lowest structure with this stoichiometry (meV/atom) = 46
- space group = P4/mmm (123)

=====

Entry 5:
Compound: CdAgTeI2
Source: the Alexandria database
Functional: GGA-PBE
Structure: optimized geometry Values from VASP.

Cell and atoms, written as Quantum ESPRESSO input:
```
&SYSTEM
  ibrav = 0, nat = 5, ntyp = 4
/
ATOMIC_SPECIES
Cd 112.41 Cd.upf
Ag 107.87 Ag.upf
Te 127.60 Te.upf
I 126.90 I.upf
CELL_PARAMETERS angstrom
5.5815 0.0000 0.0000
0.0000 5.5815 0.0000
0.0000 0.0000 5.7215
ATOMIC_POSITIONS crystal
Cd 0.0000 0.0000 0.0000
Ag 0.5000 0.5000 0.5000
Te 0.5000 0.5000 0.0000
I 0.0000 0.5000 0.5000
I 0.5000 0.0000 0.5000
```

Summary:
- energy above the lowest structure with this stoichiometry (meV/atom) = 0
- space group = P4/mmm (123)

=====

Entry 6:
Compound: TiCdAgI2
Source: the Alexandria database
Functional: GGA-PBE
Structure: optimized geometry Values from VASP.

Cell and atoms, written as Quantum ESPRESSO input:
```
&SYSTEM
  ibrav = 0, nat = 5, ntyp = 4
/
ATOMIC_SPECIES
Ti 47.87 Ti.upf
Cd 112.41 Cd.upf
Ag 107.87 Ag.upf
I 126.90 I.upf
CELL_PARAMETERS angstrom
5.8891 0.0000 0.0000
0.0000 5.8891 0.0000
0.0000 0.0000 5.2329
ATOMIC_POSITIONS crystal
Ti 0.0000 0.0000 0.0000
Cd 0.5000 0.5000 0.5000
Ag 0.5000 0.5000 0.0000
I 0.0000 0.5000 0.5000
I 0.5000 0.0000 0.5000
```

Summary:
- space group = P4/mmm (123)

=====

Entry 7:
Compound: Tl3CdAg3I8
Source: the Alexandria database
Functional: GGA-PBE
Structure: optimized geometry Values from VASP.

Cell and atoms, written as Quantum ESPRESSO input:
```
&SYSTEM
  ibrav = 0, nat = 15, ntyp = 4
/
ATOMIC_SPECIES
Tl 204.38 Tl.upf
Cd 112.41 Cd.upf
Ag 107.87 Ag.upf
I 126.90 I.upf
CELL_PARAMETERS angstrom
7.7874 -4.4787 0.0000
7.7874 4.4787 0.0000
-5.1732 0.0000 8.0701
ATOMIC_POSITIONS crystal
Tl 0.0000 0.0000 0.0000
Tl 0.0000 0.5000 0.0000
Tl 0.5000 0.0000 0.0000
Cd 0.0000 0.0000 0.5000
Ag 0.0000 0.5000 0.5000
Ag 0.5000 0.0000 0.5000
Ag 0.5000 0.5000 0.5000
I 0.2335 0.2335 0.7055
I 0.2347 0.7389 0.7065
I 0.2611 0.7653 0.2935
I 0.2637 0.2637 0.2929
I 0.7363 0.7363 0.7071
I 0.7389 0.2347 0.7065
I 0.7653 0.2611 0.2935
I 0.7665 0.7665 0.2945
```

Summary:
- space group = C2/m (12)

=====

Entry 8:
Compound: TlCdAgI4
Source: the Alexandria database
Functional: GGA-PBE
Structure: optimized geometry Values from VASP.

Cell and atoms, written as Quantum ESPRESSO input:
```
&SYSTEM
  ibrav = 0, nat = 14, ntyp = 4
/
ATOMIC_SPECIES
Tl 204.38 Tl.upf
Cd 112.41 Cd.upf
Ag 107.87 Ag.upf
I 126.90 I.upf
CELL_PARAMETERS angstrom
7.1676 0.0000 0.0000
0.0000 9.0777 0.0000
-1.5430 0.0000 9.2039
ATOMIC_POSITIONS crystal
Tl 0.1458 0.2500 0.0443
Tl 0.8542 0.7500 0.9557
Cd 0.2337 0.7500 0.3196
Cd 0.7663 0.2500 0.6804
Ag 0.3058 0.2500 0.6900
Ag 0.6942 0.7500 0.3100
I 0.0381 0.0171 0.7310
I 0.0381 0.4829 0.7310
I 0.3952 0.7500 0.0553
I 0.4796 0.2500 0.4396
I 0.5204 0.7500 0.5604
I 0.6048 0.2500 0.9447
I 0.9619 0.5171 0.2690
I 0.9619 0.9829 0.2690
```

Summary:
- space group = P2_1/m (11)

=====

Entry 9:
Compound: TlCd2AgI6
Source: the Alexandria database
Functional: GGA-PBE
Structure: optimized geometry Values from VASP.

Cell and atoms, written as Quantum ESPRESSO input:
```
&SYSTEM
  ibrav = 0, nat = 20, ntyp = 4
/
ATOMIC_SPECIES
Tl 204.38 Tl.upf
Cd 112.41 Cd.upf
Ag 107.87 Ag.upf
I 126.90 I.upf
CELL_PARAMETERS angstrom
7.8463 -7.3743 0.0000
7.8463 7.3743 0.0000
-2.9823 0.0000 7.9024
ATOMIC_POSITIONS crystal
Tl 0.1279 0.8721 0.7500
Tl 0.8721 0.1279 0.2500
Cd 0.2386 0.3845 0.7954
Cd 0.3845 0.2386 0.2954
Cd 0.6155 0.7614 0.7046
Cd 0.7614 0.6155 0.2046
Ag 0.2055 0.7945 0.2500
Ag 0.7945 0.2055 0.7500
I 0.0529 0.1837 0.6688
I 0.1238 0.6164 0.9364
I 0.1837 0.0529 0.1688
I 0.3005 0.4524 0.5162
I 0.3836 0.8762 0.5636
I 0.4524 0.3005 0.0162
I 0.5476 0.6995 0.9838
I 0.6164 0.1238 0.4364
I 0.6995 0.5476 0.4838
I 0.8163 0.9471 0.8312
I 0.8762 0.3836 0.0636
I 0.9471 0.8163 0.3312
```

Summary:
- space group = C2/c (15)

=====

Entry 10:
Compound: ZnCd2AgI
Source: the Alexandria database
Functional: GGA-PBE
Structure: optimized geometry Values from VASP.

Cell and atoms, written as Quantum ESPRESSO input:
```
&SYSTEM
  ibrav = 0, nat = 5, ntyp = 4
/
ATOMIC_SPECIES
Zn 65.41 Zn.upf
Cd 112.41 Cd.upf
Ag 107.87 Ag.upf
I 126.90 I.upf
CELL_PARAMETERS angstrom
7.7169 0.0000 0.0000
0.0000 7.7169 0.0000
0.0000 0.0000 5.2677
ATOMIC_POSITIONS crystal
Zn 0.0000 0.0000 0.0000
Cd 0.0000 0.5000 0.5000
Cd 0.5000 0.0000 0.5000
Ag 0.5000 0.5000 0.0000
I 0.5000 0.5000 0.5000
```

Summary:
- space group = P4/mmm (123)

=====

Number 1: formation energy from raw total energies 0.42 eV/atom. Number 2: formation energy from raw total energies 0.78 eV/atom. Number 3: formation energy from raw total energies -0.76 eV/atom. Number 4: formation energy from raw total energies 0.30 eV/atom. Number 5: formation energy from raw total energies 0.26 eV/atom. Number 6: formation energy from raw total energies 0.85 eV/atom. Number 7: formation energy from raw total energies -0.44 eV/atom. Number 8: formation energy from raw total energies -0.48 eV/atom. Number 9: formation energy from raw total energies -0.51 eV/atom. Number 10: formation energy from raw total energies 0.53 eV/atom.